*P*
Entry from Alexandria via LeMat-Bulk: a relaxed structure of LaPmMgAu (GGA-PBE).

Cell lengths 3.840, 3.840, 7.535 Å; angles 90.00, 90.00, 90.00 degrees
Positions (direct):
La1 0.000 0.000 0.000
Pm1 0.000 0.000 0.532
Mg1 0.500 0.500 0.276
Au1 0.500 0.500 0.751

Calculated values
M_tot = 0.00 μB/f.u.
Calculated volume = 27.8 Å³/atom
Crystal system = tetragonal


*Q*
Entry from Alexandria via LeMat-Bulk: a relaxed structure of LaPmMgAu (GGA-PBE).

Cell lengths 5.397, 5.397, 5.397 Å; angles 60.00, 60.00, 60.00 degrees
Positions (direct):
La1 0.000 0.000 0.000
Pm1 0.500 0.500 0.500
Mg1 0.250 0.250 0.250
Au1 0.750 0.750 0.750

Calculated values
M_tot = 0.06 μB/f.u.
Calculated volume = 27.8 Å³/atom
Crystal system = cubic


Which is most stable, and by how much? *P*, by 75 meV/atom.


*P*
Entry from Alexandria via LeMat-Bulk: a relaxed structure of LaMgPtAu (GGA-PBE).

Cell lengths 4.644, 4.644, 5.540 Å; angles 114.71, 114.71, 60.01 degrees
Positions (direct):
La1 0.000 0.000 0.000
Mg1 0.490 0.490 0.471
Pt1 0.784 0.784 0.351
Au1 0.216 0.216 0.648

Calculated values
M_tot = 0.00 μB/f.u.
Calculated volume = 22.7 Å³/atom
Crystal system = monoclinic


*Q*
Entry from Alexandria via LeMat-Bulk: a relaxed structure of LaMgPtAu (GGA-PBE).

Cell lengths 5.013, 5.013, 5.013 Å; angles 60.00, 60.00, 60.00 degrees
Positions (direct):
La1 0.000 0.000 0.000
Mg1 0.500 0.500 0.500
Pt1 0.250 0.250 0.250
Au1 0.750 0.750 0.750

Calculated values
M_tot = 0.00 μB/f.u.
Calculated volume = 22.3 Å³/atom
Crystal system = cubic


Which is most stable, and by how much? *P*, by 85 meV/atom.


*P*
Entry from Alexandria via LeMat-Bulk: a relaxed structure of LaMoAu2 (GGA-PBE).

Cell lengths 5.468, 5.468, 5.468 Å; angles 132.90, 132.90, 68.82 degrees
Positions (direct):
La1 0.000 0.000 0.000
Mo1 0.750 0.250 0.500
Au1 0.250 0.750 0.500
Au2 0.500 0.500 0.000

Calculated values
M_tot = 2.86 μB/f.u.
Calculated volume = 21.5 Å³/atom
Crystal system = tetragonal


*Q*
Entry from Alexandria via LeMat-Bulk: a relaxed structure of LaMoAu2 (GGA-PBE).

Cell lengths 4.913, 4.913, 6.226 Å; angles 98.65, 98.65, 36.31 degrees
Positions (direct):
La1 0.000 0.000 0.000
Mo1 0.500 0.500 0.500
Au1 0.240 0.240 0.692
Au2 0.760 0.760 0.308

Calculated values
M_tot = 0.00 μB/f.u.
Calculated volume = 22.0 Å³/atom
Crystal system = monoclinic


Which is most stable, and by how much? *P*, by 97 meV/atom.


*P*
Entry from Alexandria via LeMat-Bulk: a relaxed structure of LaMoAu2 (GGA-PBE).

Cell lengths 4.954, 4.954, 4.954 Å; angles 60.00, 60.00, 60.00 degrees
Positions (direct):
La1 0.000 0.000 0.000
Mo1 0.250 0.250 0.250
Au1 0.500 0.500 0.500
Au2 0.750 0.750 0.750

Calculated values
M_tot = 3.16 μB/f.u.
Calculated volume = 21.5 Å³/atom
Crystal system = cubic


*Q*
Entry from Alexandria via LeMat-Bulk: a relaxed structure of LaMoAu2 (GGA-PBE).

Cell lengths 5.238, 5.238, 3.161 Å; angles 90.00, 90.00, 108.86 degrees
Positions (direct):
La1 0.000 0.000 0.000
Mo1 0.500 0.500 0.000
Au1 0.000 0.500 0.500
Au2 0.500 0.000 0.500

Calculated values
M_tot = 0.82 μB/f.u.
Calculated volume = 20.5 Å³/atom
Crystal system = orthorhombic


*R*
Entry from Alexandria via LeMat-Bulk: a relaxed structure of LaMoAu2 (GGA-PBE).

Cell lengths 10.291, 10.291, 10.291 Å; angles 17.09, 17.09, 17.09 degrees
Positions (direct):
La1 0.000 0.000 0.000
Mo1 0.240 0.240 0.240
Au1 0.502 0.502 0.502
Au2 0.758 0.758 0.758

Calculated values
M_tot = 0.56 μB/f.u.
Calculated volume = 20.5 Å³/atom
Crystal system = trigonal


*S*
Entry from Alexandria via LeMat-Bulk: a relaxed structure of LaMoAu2 (GGA-PBE).

Cell lengths 3.042, 3.042, 8.879 Å; angles 90.00, 90.00, 90.00 degrees
Positions (direct):
La1 0.000 0.000 0.000
Mo1 0.500 0.500 0.286
Au1 0.000 0.000 0.491
Au2 0.500 0.500 0.725

Calculated values
M_tot = 0.00 μB/f.u.
Calculated volume = 20.5 Å³/atom
Crystal system = tetragonal


Which is most stable, and by how much? *Q*, by 104 meV/atom.


*P*
Entry from Alexandria via LeMat-Bulk: a relaxed structure of LaMoAu2 (GGA-PBE).

Cell lengths 3.196, 4.898, 5.328 Å; angles 90.00, 90.87, 90.00 degrees
Positions (direct):
La1 0.000 0.000 0.000
Mo1 0.971 0.500 0.383
Au1 0.494 0.500 0.828
Au2 0.498 0.000 0.487

Calculated values
M_tot = 0.70 μB/f.u.
Calculated volume = 20.8 Å³/atom
Crystal system = monoclinic


*Q*
Entry from Alexandria via LeMat-Bulk: a relaxed structure of LaMoAu2 (GGA-PBE).

Cell lengths 10.201, 10.201, 10.201 Å; angles 17.26, 17.26, 17.26 degrees
Positions (direct):
La1 0.000 0.000 0.000
Mo1 0.500 0.500 0.500
Au1 0.240 0.240 0.240
Au2 0.760 0.760 0.760

Calculated values
M_tot = 0.70 μB/f.u.
Calculated volume = 20.4 Å³/atom
Crystal system = trigonal


*R*
Entry from Alexandria via LeMat-Bulk: a relaxed structure of LaMoAu2 (GGA-PBE).

Cell lengths 5.782, 5.782, 5.312 Å; angles 117.26, 117.26, 32.36 degrees
Positions (direct):
La1 0.000 0.000 0.000
Mo1 0.247 0.247 0.582
Au1 0.527 0.527 0.533
Au2 0.770 0.770 0.159

Calculated values
M_tot = 0.00 μB/f.u.
Calculated volume = 20.9 Å³/atom
Crystal system = monoclinic


Which is most stable, and by how much? *P*, by 42 meV/atom.


*P*
Entry from Alexandria via LeMat-Bulk: a relaxed structure of LaMo3Au (GGA-PBE).

Cell lengths 4.964, 4.964, 4.964 Å; angles 90.00, 90.00, 90.00 degrees
Positions (direct):
La1 0.000 0.000 0.000
Mo1 0.000 0.500 0.500
Mo2 0.500 0.000 0.500
Mo3 0.500 0.500 0.000
Au1 0.500 0.500 0.500

Calculated values
M_tot = 0.01 μB/f.u.
Calculated volume = 24.5 Å³/atom
Crystal system = cubic


*Q*
Entry from Alexandria via LeMat-Bulk: a relaxed structure of LaMo3Au (GGA-PBE).

Cell lengths 4.752, 4.752, 4.752 Å; angles 90.00, 90.00, 90.00 degrees
Positions (direct):
La1 0.000 0.000 0.000
Mo1 0.000 0.000 0.500
Mo2 0.000 0.500 0.000
Mo3 0.500 0.000 0.000
Au1 0.500 0.500 0.500

Calculated values
M_tot = 0.00 μB/f.u.
Calculated volume = 21.5 Å³/atom
Crystal system = cubic


Which is most stable, and by how much? *P*, by 473 meV/atom.